First-principles (PBE-GGA) data for an optimized crystal structure of CdRuF2, as listed in Alexandria.

a b c (Å): 6.575 6.575 5.486
angles (deg): 53.19 53.19 90.00
Element x y z (fractional)
Ru (0.500, 0.500, 0.000)
Ru (0.250, 0.750, 0.500)
F (0.589, 0.125, 0.250)
F (0.161, 0.625, 0.250)
F (0.375, 0.411, 0.750)
F (0.875, 0.839, 0.750)
Cd (0.000, 0.000, 0.000)
Cd (0.750, 0.250, 0.500)

M_tot = 5.7 μB/cell
Distance to the lowest polymorph of the same formula = 447 meV/atom
Energy relative to the elements, uncorrected = -0.47 eV/atom
Space-group type = I-42d (122)
DFT total energy = -15.8 eV per formula unit